# 1
# Zr2SbAu | the Alexandria database | PBE | optimized geometry
# Formation energy (no corrections) (eV per atom): -0.486
# Fermi-level density of states (states/eV/f.u.): 3.96
# M_tot (μB/f.u.): 0.00
data_Zr2SbAu
_symmetry_space_group_name_H-M 'P 1 2/m 1'
_symmetry_Int_Tables_number 10
_cell_length_a 3.311
_cell_length_b 4.094
_cell_length_c 6.362
_cell_angle_alpha 90.00
_cell_angle_beta 96.68
_cell_angle_gamma 90.00
loop_
_symmetry_equiv_pos_as_xyz
'x,y,z'
'-x,-y,-z'
'-x,y,-z'
'x,-y,z'
loop_
_atom_site_label
_atom_site_fract_x
_atom_site_fract_y
_atom_site_fract_z
_atom_site_occupancy
Zr1 0.026 0.000 0.243 1
Sb1 0.500 0.500 0.500 1
Au1 0.500 0.500 0.000 1



# 2
# Zr2SbAu2 | the Alexandria database | PBE | optimized geometry
# E above lowest polymorph (eV/atom): 0.0000
# Formation energy (no corrections) (eV per atom): -0.400
# Fermi-level density of states (states/eV/f.u.): 5.62
# M_tot (μB/f.u.): 0.00
data_Zr2SbAu2
_symmetry_space_group_name_H-M 'P 4/m b m'
_symmetry_Int_Tables_number 127
_symmetry_space_group_name_Hall '-P 4 2ab'
_cell_length_a 7.307
_cell_length_b 7.307
_cell_length_c 4.014
_cell_angle_alpha 90.00
_cell_angle_beta 90.00
_cell_angle_gamma 90.00
loop_
_atom_site_label
_atom_site_fract_x
_atom_site_fract_y
_atom_site_fract_z
_atom_site_occupancy
Zr1 0.167 0.333 0.000 1
Sb1 0.000 0.000 0.500 1
Au1 0.131 0.631 0.500 1